[1]
ScAgPb2: relaxed, PBE.

It has space group R-3m (No. 166, hexagonal axes), with a = 3.3740 Å, b = 3.3740 Å, c = 30.6922 Å, α = 90.00°, β = 90.00° and γ = 120.00°. The asymmetric unit holds Sc at (0.0000, 0.0000, 0.0000), Ag at (0.0000, 0.0000, 0.5000) and Pb at (0.0000, 0.0000, 0.2471).

The energy of formation comes out at 0.016 eV/atom.



[2]
ScAgPb: relaxed, PBE.

It has space group Amm2 (No. 38), with a = 4.298 Å, b = 4.503 Å, c = 13.947 Å, α = 90.00°, β = 90.00° and γ = 90.00°. The asymmetric unit holds Sc at (0.000, 0.000, 0.000), Sc at (0.000, 0.000, 0.317), Ag at (0.000, 0.000, 0.640), Ag at (0.500, 0.000, 0.489), Pb at (0.500, 0.000, 0.156) and Pb at (0.500, 0.000, 0.841).

The energy of formation comes out at -0.223 eV/atom.



[3]
ScAgPb2: relaxed, PBE.

It has space group Cm (No. 8), with a = 11.548 Å, b = 3.449 Å, c = 5.218 Å, α = 90.00°, β = 109.57° and γ = 90.00°. The asymmetric unit holds Sc at (0.000, 0.000, 0.000), Ag at (0.223, 0.500, 0.357), Pb at (0.251, 0.000, 0.881) and Pb at (0.482, 0.000, 0.493).

The energy of formation comes out at -0.141 eV/atom.



[4]
ScAgPb2: relaxed, PBE.

It has space group I-4m2 (No. 119), with a = 4.342 Å, b = 4.342 Å, c = 10.228 Å, α = 90.00°, β = 90.00° and γ = 90.00°. The asymmetric unit holds Sc at (0.000, 0.000, 0.000), Ag at (0.000, 0.500, 0.750), Pb at (0.000, 0.000, 0.500) and Pb at (0.000, 0.500, 0.250).

The energy of formation comes out at -0.139 eV/atom.



[5]
Sc2AgPb5: relaxed, PBE.

It has space group I4mm (No. 107), with a = 6.849 Å, b = 6.849 Å, c = 8.826 Å, α = 90.00°, β = 90.00° and γ = 90.00°. The asymmetric unit holds Sc at (0.000, 0.500, 0.000), Ag at (0.000, 0.000, 0.000), Pb at (0.000, 0.000, 0.500) and Pb at (0.250, 0.250, 0.250).

The energy of formation comes out at -0.132 eV/atom.



[6]
Sc3Ag3Pb4: relaxed, PBE.

It has space group I-43d (No. 220), with a = 9.888 Å, b = 9.888 Å, c = 9.888 Å, α = 90.00°, β = 90.00° and γ = 90.00°. The asymmetric unit holds Sc at (0.000, 0.250, 0.875), Ag at (0.000, 0.250, 0.375) and Pb at (0.104, 0.396, 0.604).

The energy of formation comes out at -0.081 eV/atom.



[7]
ScAgPb2: relaxed, PBE.

It has space group P2/m (No. 10), with a = 3.337 Å, b = 4.586 Å, c = 6.625 Å, α = 90.00°, β = 95.82° and γ = 90.00°. The asymmetric unit holds Sc at (0.000, 0.000, 0.000), Ag at (0.500, 0.000, 0.500) and Pb at (0.384, 0.500, 0.758).

The energy of formation comes out at -0.061 eV/atom.



[8]
ScAgPb: relaxed, PBE.

It has space group C2 (No. 5), with a = 4.426 Å, b = 14.039 Å, c = 4.337 Å, α = 90.00°, β = 90.07° and γ = 90.00°. The asymmetric unit holds Sc at (0.000, 0.000, 0.000), Sc at (0.000, 0.314, 0.000), Ag at (0.000, 0.163, 0.500), Ag at (0.000, 0.823, 0.500), Pb at (0.000, 0.471, 0.500) and Pb at (0.000, 0.665, 0.000).

The energy of formation comes out at -0.221 eV/atom.



[9]
ScAgPb: relaxed, PBE.

It has space group Imm2 (No. 44), with a = 3.447 Å, b = 4.446 Å, c = 9.026 Å, α = 90.00°, β = 90.00° and γ = 90.00°. The asymmetric unit holds Sc at (0.000, 0.000, 0.000), Ag at (0.000, 0.000, 0.661) and Pb at (0.000, 0.000, 0.332).

The energy of formation comes out at -0.098 eV/atom.



[10]
ScAgPb: relaxed, PBE.

It has space group I4mm (No. 107), with a = 3.432 Å, b = 3.432 Å, c = 11.795 Å, α = 90.00°, β = 90.00° and γ = 90.00°. The asymmetric unit holds Sc at (0.000, 0.000, 0.000), Ag at (0.000, 0.000, 0.641) and Pb at (0.000, 0.000, 0.314).

The energy of formation comes out at -0.151 eV/atom.



[11]
ScAg2Pb2: relaxed, PBE.

It has space group I4/mmm (No. 139), with a = 3.806 Å, b = 3.806 Å, c = 17.096 Å, α = 90.00°, β = 90.00° and γ = 90.00°. The asymmetric unit holds Sc at (0.000, 0.000, 0.000), Ag at (0.000, 0.500, 0.250) and Pb at (0.000, 0.000, 0.394).

The energy of formation comes out at 0.048 eV/atom. Its energy above the most stable polymorph in this dataset is 39 meV/atom.



[12]
ScAgPb2: relaxed, PBE.

It has space group P4mm (No. 99), with a = 3.518 Å, b = 3.518 Å, c = 8.226 Å, α = 90.00°, β = 90.00° and γ = 90.00°. The asymmetric unit holds Sc at (0.000, 0.000, 0.000), Ag at (0.500, 0.500, 0.189), Pb at (0.000, 0.000, 0.428) and Pb at (0.500, 0.500, 0.753).

The energy of formation comes out at -0.103 eV/atom.



[13]
ScAg2PbSe4: relaxed, PBE.

It has space group P2/m (No. 10), with a = 6.913 Å, b = 4.054 Å, c = 7.144 Å, α = 90.00°, β = 109.41° and γ = 90.00°. The asymmetric unit holds Sc at (0.000, 0.000, 0.000), Ag at (0.500, 0.000, 0.500), Ag at (0.500, 0.500, 0.000), Pb at (0.000, 0.500, 0.500), Se at (0.242, 0.500, 0.229) and Se at (0.257, 0.000, 0.772).

The formation energy (no corrections) is -0.627 eV/atom.



[14]
SmScAgPb: relaxed, PBE.

It has space group F-43m (No. 216), with a = 7.367 Å, b = 7.367 Å, c = 7.367 Å, α = 90.00°, β = 90.00° and γ = 90.00°. The asymmetric unit holds Sm at (0.000, 0.000, 0.000), Sc at (0.000, 0.000, 0.500), Ag at (0.250, 0.250, 0.250) and Pb at (0.250, 0.250, 0.750).

The energy of formation comes out at -0.356 eV/atom.



[15]
SrScAgPb: relaxed, PBE.

It has space group F-43m (No. 216), with a = 7.559 Å, b = 7.559 Å, c = 7.559 Å, α = 90.00°, β = 90.00° and γ = 90.00°. The asymmetric unit holds Sr at (0.000, 0.000, 0.000), Sc at (0.000, 0.000, 0.500), Ag at (0.250, 0.250, 0.250) and Pb at (0.250, 0.250, 0.750).

The energy of formation comes out at -0.287 eV/atom.



[16]
ScTcAg2Pb: relaxed, PBE.

It has space group P4/mmm (No. 123), with a = 5.206 Å, b = 5.206 Å, c = 4.654 Å, α = 90.00°, β = 90.00° and γ = 90.00°. The asymmetric unit holds Sc at (0.000, 0.000, 0.000), Tc at (0.000, 0.000, 0.500), Ag at (0.000, 0.500, 0.000) and Pb at (0.500, 0.500, 0.500).

The energy of formation comes out at 0.967 eV/atom.



[17]
ThScAgPb: relaxed, PBE.

It has space group F-43m (No. 216), with a = 7.438 Å, b = 7.438 Å, c = 7.438 Å, α = 90.00°, β = 90.00° and γ = 90.00°. The asymmetric unit holds Th at (0.000, 0.000, 0.000), Sc at (0.000, 0.000, 0.500), Ag at (0.250, 0.250, 0.250) and Pb at (0.250, 0.250, 0.750).

The energy of formation comes out at -0.177 eV/atom.



[18]
ThSc2Ag2Pb2: relaxed, PBE.

It has space group R-3m (No. 166, hexagonal axes), with a = 4.8478 Å, b = 4.8478 Å, c = 25.2248 Å, α = 90.00°, β = 90.00° and γ = 120.00°. The asymmetric unit holds Th at (0.0000, 0.0000, 0.0000), Sc at (0.0000, 0.0000, 0.1344), Ag at (0.0000, 0.0000, 0.4435) and Pb at (0.0000, 0.0000, 0.2628).

The energy of formation comes out at -0.207 eV/atom.



[19]
ScTi2AgPb: relaxed, PBE.

It has space group P4/mmm (No. 123), with a = 5.206 Å, b = 5.206 Å, c = 5.399 Å, α = 90.00°, β = 90.00° and γ = 90.00°. The asymmetric unit holds Sc at (0.000, 0.000, 0.000), Ti at (0.000, 0.500, 0.500), Ag at (0.500, 0.500, 0.000) and Pb at (0.000, 0.000, 0.500).

The energy of formation comes out at 1.029 eV/atom.



[20]
ScTlAgPb: relaxed, PBE.

It has space group F-43m (No. 216), with a = 7.245 Å, b = 7.245 Å, c = 7.245 Å, α = 90.00°, β = 90.00° and γ = 90.00°. The asymmetric unit holds Sc at (0.000, 0.000, 0.000), Tl at (0.250, 0.250, 0.750), Ag at (0.000, 0.000, 0.500) and Pb at (0.250, 0.250, 0.250).

The energy of formation comes out at -0.033 eV/atom.



[21]
TmScAgPb: relaxed, PBE.

It has space group F-43m (No. 216), with a = 7.233 Å, b = 7.233 Å, c = 7.233 Å, α = 90.00°, β = 90.00° and γ = 90.00°. The asymmetric unit holds Tm at (0.000, 0.000, 0.000), Sc at (0.000, 0.000, 0.500), Ag at (0.250, 0.250, 0.750) and Pb at (0.250, 0.250, 0.250).

The energy of formation comes out at -0.337 eV/atom.



[22]
ScAgPb2W: relaxed, PBE.

It has space group P4/mmm (No. 123), with a = 5.448 Å, b = 5.448 Å, c = 5.064 Å, α = 90.00°, β = 90.00° and γ = 90.00°. The asymmetric unit holds Sc at (0.000, 0.000, 0.000), Ag at (0.000, 0.000, 0.500), Pb at (0.000, 0.500, 0.000) and W at (0.500, 0.500, 0.500).

The energy of formation comes out at 1.600 eV/atom.



[23]
YScAgPb: relaxed, PBE.

It has space group F-43m (No. 216), with a = 7.289 Å, b = 7.289 Å, c = 7.289 Å, α = 90.00°, β = 90.00° and γ = 90.00°. The asymmetric unit holds Y at (0.000, 0.000, 0.000), Sc at (0.000, 0.000, 0.500), Ag at (0.250, 0.250, 0.250) and Pb at (0.250, 0.250, 0.750).

The energy of formation comes out at -0.367 eV/atom.



[24]
Zr2ScAgPb: relaxed, PBE.

It has space group P4/mmm (No. 123), with a = 5.090 Å, b = 5.090 Å, c = 5.060 Å, α = 90.00°, β = 90.00° and γ = 90.00°. The asymmetric unit holds Zr at (0.000, 0.500, 0.000), Sc at (0.000, 0.000, 0.000), Ag at (0.000, 0.000, 0.500) and Pb at (0.500, 0.500, 0.500).

The energy of formation comes out at 0.887 eV/atom.



[25]
ZrScAgPb: relaxed, PBE.

It has space group F-43m (No. 216), with a = 7.057 Å, b = 7.057 Å, c = 7.057 Å, α = 90.00°, β = 90.00° and γ = 90.00°. The asymmetric unit holds Zr at (0.000, 0.000, 0.000), Sc at (0.000, 0.000, 0.500), Ag at (0.250, 0.250, 0.250) and Pb at (0.250, 0.250, 0.750).

The energy of formation comes out at -0.178 eV/atom.



[26]
AgPb2Se2: relaxed, PBE.

It has space group I4/mmm (No. 139), with a = 5.782 Å, b = 5.782 Å, c = 9.124 Å, α = 90.00°, β = 90.00° and γ = 90.00°. The asymmetric unit holds Ag at (0.000, 0.000, 0.000), Pb at (0.000, 0.000, 0.326) and Se at (0.000, 0.500, 0.250).

Its energy above the most stable polymorph in this dataset is 153 meV/atom. The formation energy (no corrections) is -0.010 eV/atom.



[27]
Ag4PbSe: relaxed, PBE.

It has space group F-43m (No. 216), with a = 8.001 Å, b = 8.001 Å, c = 8.001 Å, α = 90.00°, β = 90.00° and γ = 90.00°. The asymmetric unit holds Ag at (0.125, 0.125, 0.125), Pb at (0.250, 0.250, 0.750) and Se at (0.000, 0.000, 0.500).

The formation energy (no corrections) is 0.084 eV/atom.



[28]
AgPb2Se: relaxed, PBE.

It has space group C2/m (No. 12), with a = 7.083 Å, b = 4.049 Å, c = 8.115 Å, α = 90.00°, β = 106.67° and γ = 90.00°. The asymmetric unit holds Ag at (0.000, 0.000, 0.000), Pb at (0.249, 0.000, 0.750) and Se at (0.000, 0.500, 0.500).

The formation energy (no corrections) is -0.090 eV/atom.